[1]
Material: SrIn2Hg
Method: DFT, meta-GGA SCAN
State: single point on PBEsol structure

Cell lengths 5.2991, 5.2991, 5.2991 Å; angles 60.00, 60.00, 60.00 degrees
Atoms (fractional coordinates):
Sr (0.7500, 0.7500, 0.7500)
Hg (0.0000, 0.0000, 0.0000)
In (0.2500, 0.2500, 0.2500)
In (0.5000, 0.5000, 0.5000)

DOS at the Fermi energy = 0.91 states/eV/cell
ΔE_f = -165 kJ/mol of formula units
Volume = 105.22 Å³ per cell


[2]
Material: KCrOs2
Method: DFT, meta-GGA SCAN
State: single point on PBEsol structure

Cell lengths 2.7189, 2.7189, 9.9845 Å; angles 82.17, 82.17, 60.00 degrees
Atoms (fractional coordinates):
Cr (0.5000, 0.5000, 0.5000)
K (0.0000, 0.0000, 0.0000)
Os (0.2341, 0.2341, 0.2977)
Os (0.7659, 0.7659, 0.7023)

Distance to the lowest polymorph of the same formula = 0.0000 eV per atom
DOS at the Fermi energy = 3.47 states/eV/cell
ΔE_f = 264 kJ/mol of formula units
Volume = 63.12 Å³ per cell